Record 1
The following is a DFT calculation (PBE) of an optimized crystal structure of RbNa2SnAu.

- Energy relative to the lowest polymorph listed for this composition: 0 meV per atom
- Formation energy from the elements: -0.18 eV per atom
- Volume: 35.83 A^3/atom
- Space group: No. 123
- Crystal system: tetragonal
- Spin magnetization: 0.0 μB/cell

```
RbNa2SnAu
1.0
5.7561 0.0000 0.0000
0.0000 5.7561 0.0000
0.0000 0.0000 5.4070
Rb Na Sn Au
1 2 1 1
Cartesian
0.0000 0.0000 0.0000 Rb
0.0000 2.8781 2.7035 Na
2.8781 0.0000 2.7035 Na
2.8781 2.8781 0.0000 Sn
2.8781 2.8781 2.7035 Au
```

Record 2
The following is a DFT calculation (PBE) of an optimized crystal structure of AgC2.

- Energy relative to the lowest polymorph listed for this composition: 1916 meV per atom
- Formation energy from the elements: 2.25 eV per atom
- Volume: 10.38 A^3/atom
- Space group: No. 139
- Crystal system: tetragonal
- Spin magnetization: 0.0 μB/cell

```
AgC2
1.0
-1.2587 1.2587 4.9133
1.2587 -1.2587 4.9133
1.2587 1.2587 -4.9133
Ag C
1 2
Cartesian
0.0000 0.0000 0.0000 Ag
0.0000 0.0000 2.3933 C
0.0000 0.0000 7.4333 C
```

Record 3
The following is a DFT calculation (PBE) of an optimized crystal structure of CsRb2SnHg.

- Energy relative to the lowest polymorph listed for this composition: 23 meV per atom
- Formation energy from the elements: -0.01 eV per atom
- Volume: 61.42 A^3/atom
- Space group: No. 123
- Crystal system: tetragonal
- Spin magnetization: 0.3 μB/cell

```
CsRb2SnHg
1.0
7.3717 0.0000 0.0000
0.0000 7.3717 0.0000
0.0000 0.0000 5.6508
Cs Rb Sn Hg
1 2 1 1
Cartesian
0.0000 0.0000 0.0000 Cs
0.0000 3.6859 2.8254 Rb
3.6859 0.0000 2.8254 Rb
3.6859 3.6859 2.8254 Sn
3.6859 3.6859 0.0000 Hg
```

Look up the formation energy from the elements of the third one.
-0.01 eV per atom

Repeat the first record exactly.
The following is a DFT calculation (PBE) of an optimized crystal structure of RbNa2SnAu.

- Energy relative to the lowest polymorph listed for this composition: 0 meV per atom
- Formation energy from the elements: -0.18 eV per atom
- Volume: 35.83 A^3/atom
- Space group: No. 123
- Crystal system: tetragonal
- Spin magnetization: 0.0 μB/cell

```
RbNa2SnAu
1.0
5.7561 0.0000 0.0000
0.0000 5.7561 0.0000
0.0000 0.0000 5.4070
Rb Na Sn Au
1 2 1 1
Cartesian
0.0000 0.0000 0.0000 Rb
0.0000 2.8781 2.7035 Na
2.8781 0.0000 2.7035 Na
2.8781 2.8781 0.0000 Sn
2.8781 2.8781 2.7035 Au
```